# NaLiY2S4

A geometry-optimized NaLiY2S4 structure (PBE, Alexandria via LeMat-Bulk).

Properties
energy: -5.92 eV per atom
total magnetization: 0.000 μB/atom
formation energy (no corrections): -1.84 eV/atom
V: 350.0 Å³ per cell

Unit cell a=7.911 b=7.911 c=7.911 alpha=120.31 beta=119.72 gamma=89.97
Atoms (fractional coordinates):
Na 0.500 0.000 0.000
Na 0.500 0.500 0.500
Li 0.000 0.000 0.000
Li 0.500 0.000 0.500
Y 0.000 0.000 0.500
Y 0.000 0.500 0.000
Y 0.000 0.500 0.500
Y 0.500 0.500 0.000
S 0.236 0.747 0.489
S 0.242 0.253 0.989
S 0.245 0.250 0.505
S 0.245 0.740 0.995
S 0.755 0.260 0.005
S 0.755 0.750 0.495
S 0.758 0.747 0.011
S 0.764 0.253 0.511